(1)
# SmInBi3 | Alexandria | GGA-PBE | relaxed
data_SmInBi3
_chemical_formula_sum 'Sm4 In4 Bi12'
_symmetry_space_group_name_H-M 'P b c m'
_symmetry_Int_Tables_number 57
_symmetry_space_group_name_Hall '-P 2c 2b'
_cell_length_a 14.8401
_cell_length_b 6.3952
_cell_length_c 6.5899
_cell_angle_alpha 90.00
_cell_angle_beta 90.00
_cell_angle_gamma 90.00
loop_
_atom_site_label
_atom_site_type_symbol
_atom_site_fract_x
_atom_site_fract_y
_atom_site_fract_z
Sm1 Sm 0.1734 0.0015 0.2500
In1 In 0.3889 0.7500 0.0000
Bi1 Bi 0.0021 0.7500 0.0000
Bi2 Bi 0.2181 0.0046 0.7500
Bi3 Bi 0.3978 0.2112 0.2500
# size of the total moment	0.00	μB per formula unit
# E_form	-335.0	meV/atom

(2)
# Sm2InBi4 | Alexandria | GGA-PBE | relaxed
data_Sm2InBi4
_chemical_formula_sum 'Sm4 In2 Bi8'
_symmetry_space_group_name_H-M 'I 4/m m m'
_symmetry_Int_Tables_number 139
_symmetry_space_group_name_Hall '-I 4 2'
_cell_length_a 7.1031
_cell_length_b 7.1031
_cell_length_c 8.9630
_cell_angle_alpha 90.00
_cell_angle_beta 90.00
_cell_angle_gamma 90.00
loop_
_atom_site_label
_atom_site_type_symbol
_atom_site_fract_x
_atom_site_fract_y
_atom_site_fract_z
Sm1 Sm 0.0000 0.5000 0.0000
In1 In 0.0000 0.0000 0.0000
Bi1 Bi 0.2500 0.2500 0.2500
# size of the total moment	0.00	μB per formula unit
# relative energy among the computed polymorphs	0	meV per atom
# E_form	-440.2	meV/atom

(3)
# Sm5In2Bi2 | Alexandria | GGA-PBE | relaxed
data_Sm5In2Bi2
_chemical_formula_sum 'Sm20 In8 Bi8'
_symmetry_space_group_name_H-M 'C m c e'
_symmetry_Int_Tables_number 64
_symmetry_space_group_name_Hall '-C 2ac 2'
_cell_length_a 16.1287
_cell_length_b 8.3826
_cell_length_c 8.3695
_cell_angle_alpha 90.00
_cell_angle_beta 90.00
_cell_angle_gamma 90.00
loop_
_atom_site_label
_atom_site_type_symbol
_atom_site_fract_x
_atom_site_fract_y
_atom_site_fract_z
Sm1 Sm 0.0000 0.0000 0.0000
Sm2 Sm 0.1353 0.1722 0.3314
In1 In 0.0000 0.1266 0.6257
Bi1 Bi 0.2049 0.0000 0.0000
# size of the total moment	0.00	μB per formula unit
# E_form	-659.5	meV/atom